Record 1
Computed, not measured: a relaxed structure of CsSrMnF6 at the PBE+U level of DFT.

```
CsSrMnF6
1.0
2.990 -5.197 0.000
2.990 5.197 0.000
-0.003 0.000 6.188
Cs Sr Mn F
1 1 1 6
Direct
0.000 0.000 0.000 Cs
0.666 0.334 0.500 Sr
0.334 0.666 0.500 Mn
0.060 0.651 0.681 F
0.061 0.405 0.325 F
0.349 0.406 0.680 F
0.349 0.940 0.319 F
0.594 0.651 0.320 F
0.595 0.939 0.675 F
```

Values from the calculation:
M_tot = 2.0 μB/f.u.
space-group type = No. 5
DOS at the Fermi energy = 0.00 states/eV per cell

Record 2
Computed, not measured: a relaxed structure of CsSr2MnF8 at the PBE+U level of DFT.

```
CsSr2MnF8
1.0
4.561 0.000 0.000
1.564 5.596 0.000
0.231 0.043 8.132
Cs Sr Mn F
1 2 1 8
Direct
0.000 0.000 0.000 Cs
0.447 0.474 0.254 Sr
0.553 0.526 0.746 Sr
0.000 0.000 0.500 Mn
0.031 0.268 0.309 F
0.059 0.195 0.672 F
0.391 0.316 0.980 F
0.407 0.788 0.493 F
0.593 0.212 0.507 F
0.609 0.684 0.020 F
0.941 0.805 0.328 F
0.969 0.732 0.691 F
```

Values from the calculation:
M_tot = 4.0 μB/f.u.
space-group type = No. 2
DOS at the Fermi energy = 0.00 states/eV per cell

Record 3
Computed, not measured: a relaxed structure of CsTbMnF6 at the PBE+U level of DFT.

```
CsTbMnF6
1.0
2.986 -5.158 0.000
2.986 5.158 0.000
-0.010 0.000 6.329
Cs Tb Mn F
1 1 1 6
Direct
0.000 0.000 0.000 Cs
0.667 0.333 0.500 Tb
0.333 0.667 0.500 Mn
0.004 0.394 0.688 F
0.006 0.613 0.315 F
0.387 0.994 0.685 F
0.389 0.396 0.313 F
0.604 0.611 0.687 F
0.606 0.996 0.312 F
```

Values from the calculation:
M_tot = 5.0 μB/f.u.
space-group type = No. 5
DOS at the Fermi energy = 0.00 states/eV per cell

Record 4
Computed, not measured: a relaxed structure of CsTiMnF6 at the PBE+U level of DFT.

```
CsTiMnF6
1.0
-3.813 3.865 5.409
3.813 -3.865 5.409
3.813 3.865 -5.409
Cs Ti Mn F
2 2 2 12
Direct
0.371 0.121 0.250 Cs
0.629 0.879 0.750 Cs
0.000 0.500 0.500 Ti
0.500 0.500 0.000 Ti
0.000 0.000 0.500 Mn
0.000 0.500 0.000 Mn
0.081 0.831 0.250 F
0.084 0.440 0.275 F
0.084 0.809 0.644 F
0.295 0.545 0.750 F
0.335 0.191 0.775 F
0.335 0.560 0.144 F
0.665 0.440 0.856 F
0.665 0.809 0.225 F
0.705 0.455 0.250 F
0.916 0.191 0.356 F
0.916 0.560 0.725 F
0.919 0.169 0.750 F
```

Values from the calculation:
M_tot = 6.0 μB/f.u.
space-group type = No. 74
DOS at the Fermi energy = 5.66 states/eV per cell

| no. | E_tot (eV per atom) |
| --- | --- |
| 1 | -5.26 |
| 2 | -5.39 |
| 3 | -6.04 |
| 4 | -6.10 |